# CsBi2P2

CsBi2P2 at its PBEsol-relaxed geometry (SCAN, Alexandria via LeMat-Bulk).

Structure (POSCAR):
```
CsBi2P2
1.0
-3.352 2.094 2.560
-2.946 -0.233 -3.667
1.077 -6.732 2.586
Cs P Bi
1 2 2
Direct
0.000 0.000 0.000
0.420 0.420 0.840
0.580 0.580 0.160
0.250 0.750 0.500
0.750 0.250 0.500
```

Properties
- SG = I4/mmm, No. 139
- total magnetization (μB/cell) = 0.00
- energy of formation (eV/atom) = 0.0461
- distance to the lowest polymorph of the same formula (meV per atom) = 122

# NaMg2TiTe

NaMg2TiTe at its PBEsol-relaxed geometry (SCAN, Alexandria via LeMat-Bulk).

Structure (POSCAR):
```
NaMg2TiTe
1.0
5.384 0.000 0.000
0.000 5.384 0.000
0.000 0.000 5.577
Na Mg Te Ti
1 2 1 1
Direct
0.000 0.000 0.500
0.000 0.500 0.000
0.500 0.000 0.000
0.500 0.500 0.500
0.000 0.000 0.000
```

Properties
- formation energy (no corrections) (eV/atom) = 0.841
- SG = P4/mmm, No. 123
- total magnetization (μB/cell) = 2.90

# Sc2SbO2

Sc2SbO2 at its PBEsol-relaxed geometry (SCAN, Alexandria via LeMat-Bulk).

Structure (POSCAR):
```
Sc2SbO2
1.0
3.604 0.000 0.000
0.000 3.604 0.000
-1.802 -1.802 6.230
Sc Sb O
2 1 2
Direct
0.331 0.331 0.661
0.669 0.669 0.339
0.000 0.000 0.000
0.250 0.750 0.500
0.750 0.250 0.500
```

Properties
- formation energy (no corrections) (eV/atom) = -2.820
- SG = I4/mmm, No. 139
- total magnetization (μB/cell) = 0.00

# OsRhPb2

OsRhPb2 at its PBEsol-relaxed geometry (SCAN, Alexandria via LeMat-Bulk).

Structure (POSCAR):
```
OsRhPb2
1.0
3.230 0.000 0.000
1.615 2.797 0.000
1.615 0.932 8.295
Os Pb Rh
1 2 1
Direct
0.000 0.000 0.000
0.249 0.249 0.254
0.751 0.751 0.746
0.500 0.500 0.500
```

Properties
- SG = R-3m, No. 166
- total magnetization (μB/cell) = 0.00
- energy of formation (eV/atom) = 0.6883
- distance to the lowest polymorph of the same formula (meV per atom) = 0

# BaIr2Pb

BaIr2Pb at its PBEsol-relaxed geometry (SCAN, Alexandria via LeMat-Bulk).

Structure (POSCAR):
```
BaIr2Pb
1.0
-3.870 1.579 -2.126
-0.613 -2.878 4.150
-1.292 2.160 3.957
Pb Ir Ba
1 2 1
Direct
0.000 0.000 0.000
0.250 0.500 0.250
0.750 0.500 0.750
0.500 0.000 0.500
```

Properties
- SG = I4/mmm, No. 139
- total magnetization (μB/cell) = 0.00
- energy of formation (eV/atom) = 0.6891

# Na5Dy4Si4O16F

Na5Dy4Si4O16F at its PBEsol-relaxed geometry (SCAN, Alexandria via LeMat-Bulk).

Structure (POSCAR):
```
Na5Dy4Si4O16F
1.0
-1.151 -3.755 -3.692
0.676 -7.716 3.701
-8.439 -1.551 0.272
Na Dy Si O F
5 4 4 16 1
Direct
0.615 0.306 0.485
0.405 0.694 0.515
0.080 0.515 0.306
0.901 0.485 0.694
0.500 0.000 0.000
0.206 0.703 0.934
0.843 0.297 0.066
0.091 0.066 0.703
0.860 0.934 0.297
0.384 0.352 0.857
0.593 0.648 0.143
0.264 0.143 0.352
0.758 0.857 0.648
0.407 0.499 0.722
0.628 0.501 0.278
0.094 0.278 0.499
0.871 0.722 0.501
0.685 0.234 0.864
0.783 0.766 0.136
0.081 0.136 0.234
0.451 0.864 0.766
0.207 0.240 0.827
0.274 0.760 0.173
0.553 0.173 0.240
0.966 0.827 0.760
0.190 0.441 0.034
0.665 0.559 0.966
0.369 0.966 0.441
0.776 0.034 0.559
0.000 0.000 0.000
```

Properties
- formation energy (no corrections) (eV/atom) = -3.227
- SG = I-4, No. 82
- total magnetization (μB/cell) = 0.00

# TaZn2Rh

TaZn2Rh at its PBEsol-relaxed geometry (SCAN, Alexandria via LeMat-Bulk).

Structure (POSCAR):
```
TaZn2Rh
1.0
-2.598 0.901 -1.126
0.992 -0.568 -2.742
-2.319 -6.143 0.434
Zn Rh Ta
2 1 1
Direct
0.000 0.000 0.019
0.500 0.500 0.252
0.000 0.000 0.492
0.500 0.500 0.737
```

Properties
- SG = P4mm, No. 99
- total magnetization (μB/cell) = 0.00
- energy of formation (eV/atom) = -0.3030

# Li2YPt

Li2YPt at its PBEsol-relaxed geometry (SCAN, Alexandria via LeMat-Bulk).

Structure (POSCAR):
```
Li2YPt
1.0
-0.085 -3.814 2.242
-0.109 -3.848 -2.183
4.245 -2.663 -0.003
Y Pt Li
1 1 2
Direct
0.244 0.244 0.268
0.469 0.469 0.593
0.029 0.029 0.913
0.758 0.758 0.725
```

Properties
- SG = R3m, No. 160
- total magnetization (μB/cell) = 0.00
- energy of formation (eV/atom) = -0.6732
- distance to the lowest polymorph of the same formula (meV per atom) = 2

# Ca2MoAu

Ca2MoAu at its PBEsol-relaxed geometry (SCAN, Alexandria via LeMat-Bulk).

Structure (POSCAR):
```
Ca2MoAu
1.0
-3.030 -1.660 -2.890
5.103 -1.107 -1.204
1.321 -4.184 1.019
Mo Au Ca
1 1 2
Direct
0.500 0.000 0.500
0.000 0.000 0.000
0.250 0.500 0.250
0.750 0.500 0.750
```

Properties
- SG = I4/mmm, No. 139
- total magnetization (μB/cell) = 2.92
- energy of formation (eV/atom) = 0.2531
- distance to the lowest polymorph of the same formula (meV per atom) = 0

# SbPdO3

SbPdO3 at its PBEsol-relaxed geometry (SCAN, Alexandria via LeMat-Bulk).

Structure (POSCAR):
```
SbPdO3
1.0
3.946 0.000 0.000
0.000 3.946 0.000
0.000 0.000 3.946
Sb O Pd
1 3 1
Direct
0.000 0.000 0.000
0.000 0.500 0.000
0.000 0.000 0.500
0.500 0.000 0.000
0.500 0.500 0.500
```

Properties
- formation energy (no corrections) (eV/atom) = -0.620
- SG = Pm-3m, No. 221
- total magnetization (μB/cell) = 1.10

# CrFe2AgS

CrFe2AgS at its PBEsol-relaxed geometry (SCAN, Alexandria via LeMat-Bulk).

Structure (POSCAR):
```
CrFe2AgS
1.0
4.608 0.000 0.000
0.000 4.608 0.000
0.000 0.000 4.846
Cr S Fe Ag
1 1 2 1
Direct
0.000 0.000 0.500
0.500 0.500 0.500
0.000 0.500 0.000
0.500 0.000 0.000
0.000 0.000 0.000
```

Properties
- formation energy (no corrections) (eV/atom) = 1.325
- SG = P4/mmm, No. 123
- total magnetization (μB/cell) = 10.87

# TaBeCo2

TaBeCo2 at its PBEsol-relaxed geometry (SCAN, Alexandria via LeMat-Bulk).

Structure (POSCAR):
```
TaBeCo2
1.0
-0.772 -3.307 0.509
3.176 -0.560 1.181
-2.384 2.759 2.727
Be Co Ta
1 2 1
Direct
0.250 0.750 0.500
0.000 0.000 0.000
0.750 0.250 0.500
0.500 0.500 0.000
```

Properties
- SG = I-4m2, No. 119
- total magnetization (μB/cell) = 0.00
- energy of formation (eV/atom) = -0.0712

# MnCo3C

MnCo3C at its PBEsol-relaxed geometry (SCAN, Alexandria via LeMat-Bulk).

Structure (POSCAR):
```
MnCo3C
1.0
-0.629 3.139 1.847
-2.910 0.694 -2.170
-2.189 -1.823 2.354
C Mn Co
1 1 3
Direct
0.000 0.000 0.000
0.500 0.500 0.500
0.000 0.500 0.000
0.000 0.000 0.500
0.500 0.000 0.000
```

Properties
- SG = Pm-3m, No. 221
- total magnetization (μB/cell) = 7.44
- energy of formation (eV/atom) = -0.0033

# LiCo2Ag

LiCo2Ag at its PBEsol-relaxed geometry (SCAN, Alexandria via LeMat-Bulk).

Structure (POSCAR):
```
LiCo2Ag
1.0
-0.217 0.860 -2.376
-0.359 -2.487 0.341
-8.739 1.444 1.321
Ag Co Li
1 2 1
Direct
0.500 0.500 0.000
0.000 0.000 0.259
0.000 0.000 0.741
0.500 0.500 0.500
```

Properties
- SG = Cmmm, No. 65
- total magnetization (μB/cell) = 3.55
- energy of formation (eV/atom) = 0.3524

# Ba3AlF

Ba3AlF at its PBEsol-relaxed geometry (SCAN, Alexandria via LeMat-Bulk).

Structure (POSCAR):
```
Ba3AlF
1.0
5.450 0.000 0.000
0.000 5.450 0.000
0.000 0.000 5.450
F Ba Al
1 3 1
Direct
0.000 0.000 0.000
0.000 0.500 0.000
0.000 0.000 0.500
0.500 0.000 0.000
0.500 0.500 0.500
```

Properties
- formation energy (no corrections) (eV/atom) = -1.183
- SG = Pm-3m, No. 221
- total magnetization (μB/cell) = 0.00

# NiBi

NiBi at its PBEsol-relaxed geometry (SCAN, Alexandria via LeMat-Bulk).

Structure (POSCAR):
```
NiBi
1.0
-2.673 2.776 -1.423
-0.205 -1.231 3.914
3.214 3.792 1.361
Ni Bi
2 2
Direct
0.000 0.000 0.000
0.000 0.000 0.500
0.333 0.667 0.250
0.667 0.333 0.750
```

Properties
- SG = P6_3/mmc, No. 194
- total magnetization (μB/cell) = 0.05
- energy of formation (eV/atom) = 0.0269

# TeIrBr2

TeIrBr2 at its PBEsol-relaxed geometry (SCAN, Alexandria via LeMat-Bulk).

Structure (POSCAR):
```
TeIrBr2
1.0
4.369 -0.033 0.000
-0.284 4.360 0.000
-2.042 -2.164 4.565
Ir Te Br
1 1 2
Direct
0.500 0.500 0.000
0.000 0.000 0.000
0.500 0.000 0.500
0.000 0.500 0.500
```

Properties
- formation energy (no corrections) (eV/atom) = 0.804
- SG = Fmmm, No. 69
- total magnetization (μB/cell) = 0.00

# Co2TePb

Co2TePb at its PBEsol-relaxed geometry (SCAN, Alexandria via LeMat-Bulk).

Structure (POSCAR):
```
Co2TePb
1.0
-0.161 1.989 -4.126
-3.940 0.110 -2.338
-2.230 3.966 -0.546
Pb Te Co
1 1 2
Direct
0.000 0.000 0.000
0.500 0.500 0.500
0.250 0.250 0.250
0.750 0.750 0.750
```

Properties
- formation energy (no corrections) (eV/atom) = 0.600
- SG = Fm-3m, No. 225
- total magnetization (μB/cell) = 2.69

# YZrPb

YZrPb at its PBEsol-relaxed geometry (SCAN, Alexandria via LeMat-Bulk).

Structure (POSCAR):
```
YZrPb
1.0
-1.979 -1.968 4.168
-0.332 -4.980 0.510
2.942 -2.386 3.289
Pb Y Zr
1 1 1
Direct
0.000 0.000 0.000
0.500 0.500 0.500
0.250 0.250 0.250
```

Properties
- SG = F-43m, No. 216
- total magnetization (μB/cell) = 2.99
- energy of formation (eV/atom) = 0.2445

# Cs2CaRh

Cs2CaRh at its PBEsol-relaxed geometry (SCAN, Alexandria via LeMat-Bulk).

Structure (POSCAR):
```
Cs2CaRh
1.0
5.644 0.000 0.000
2.822 4.888 0.000
2.822 1.629 4.608
Cs Ca Rh
2 1 1
Direct
0.250 0.250 0.250
0.750 0.750 0.750
0.000 0.000 0.000
0.500 0.500 0.500
```

Properties
- SG = Fm-3m, No. 225
- total magnetization (μB/cell) = 0.00
- energy of formation (eV/atom) = 0.9057

# Ni11As8

Ni11As8 at its PBEsol-relaxed geometry (SCAN, Alexandria via LeMat-Bulk).

Structure (POSCAR):
```
Ni11As8
1.0
6.804 -0.001 0.002
0.000 6.804 0.002
1.687 1.687 10.764
As Ni
16 22
Direct
0.067 0.933 0.250
0.933 0.067 0.750
0.557 0.443 0.250
0.443 0.557 0.750
0.067 0.443 0.250
0.557 0.933 0.250
0.933 0.557 0.750
0.443 0.067 0.750
0.376 0.251 0.999
0.749 0.624 0.501
0.624 0.749 0.001
0.251 0.376 0.499
0.752 0.127 0.493
0.873 0.248 0.007
0.248 0.873 0.507
0.127 0.752 0.993
0.323 0.197 0.214
0.803 0.677 0.286
0.677 0.803 0.786
0.197 0.323 0.714
0.811 0.189 0.250
0.189 0.811 0.750
0.854 0.922 0.093
0.078 0.146 0.407
0.146 0.078 0.907
0.922 0.854 0.593
0.350 0.915 0.092
0.085 0.650 0.408
0.650 0.085 0.908
0.915 0.350 0.592
0.854 0.532 0.092
0.468 0.146 0.408
0.146 0.468 0.908
0.532 0.854 0.592
0.349 0.539 0.092
0.461 0.651 0.408
0.651 0.461 0.908
0.539 0.349 0.592
```

Properties
- SG = C2/c, No. 15
- total magnetization (μB/cell) = 0.00
- energy of formation (eV/atom) = -0.3540

# MnPCl

MnPCl at its PBEsol-relaxed geometry (SCAN, Alexandria via LeMat-Bulk).

Structure (POSCAR):
```
MnPCl
1.0
4.157 0.000 0.000
2.079 3.600 0.000
2.079 1.200 3.394
Cl Mn P
1 1 1
Direct
0.500 0.500 0.500
0.250 0.250 0.250
0.000 0.000 0.000
```

Properties
- formation energy (no corrections) (eV/atom) = -0.009
- SG = F-43m, No. 216
- total magnetization (μB/cell) = 3.00

# InPb2

InPb2 at its PBEsol-relaxed geometry (SCAN, Alexandria via LeMat-Bulk).

Structure (POSCAR):
```
InPb2
1.0
-0.645 4.675 -2.017
-4.697 1.609 -1.298
-2.299 3.682 2.738
Pb In
2 1
Direct
0.750 0.750 0.750
0.250 0.250 0.250
0.000 0.000 0.000
```

Properties
- SG = Fm-3m, No. 225
- total magnetization (μB/cell) = 0.00
- energy of formation (eV/atom) = 0.0224

# Sr7HfN6

Sr7HfN6 at its PBEsol-relaxed geometry (SCAN, Alexandria via LeMat-Bulk).

Structure (POSCAR):
```
Sr7HfN6
1.0
-6.128 1.423 -2.316
0.833 -9.084 -7.784
-5.498 -8.495 9.326
Sr Hf N
28 4 24
Direct
0.272 0.961 0.013
0.228 0.539 0.513
0.228 0.461 0.987
0.272 0.039 0.487
0.728 0.039 0.987
0.772 0.461 0.487
0.772 0.539 0.013
0.728 0.961 0.513
0.159 0.768 0.370
0.341 0.732 0.870
0.341 0.268 0.630
0.159 0.232 0.130
0.841 0.232 0.630
0.659 0.268 0.130
0.659 0.732 0.370
0.841 0.768 0.870
0.389 0.716 0.116
0.111 0.784 0.616
0.111 0.216 0.884
0.389 0.284 0.384
0.611 0.284 0.884
0.889 0.216 0.384
0.889 0.784 0.116
0.611 0.716 0.616
0.536 0.000 0.250
0.964 0.500 0.750
0.464 0.000 0.750
0.036 0.500 0.250
0.038 0.000 0.250
0.462 0.500 0.750
0.962 0.000 0.750
0.538 0.500 0.250
0.223 0.878 0.193
0.277 0.622 0.693
0.277 0.378 0.807
0.223 0.122 0.307
0.777 0.122 0.807
0.723 0.378 0.307
0.723 0.622 0.193
0.777 0.878 0.693
0.404 0.839 0.495
0.096 0.661 0.995
0.096 0.339 0.505
0.404 0.161 0.005
0.596 0.161 0.505
0.904 0.339 0.005
0.904 0.661 0.495
0.596 0.839 0.995
0.353 0.579 0.346
0.147 0.921 0.846
0.147 0.079 0.654
0.353 0.421 0.154
0.647 0.421 0.654
0.853 0.079 0.154
0.853 0.921 0.346
0.647 0.579 0.846
```

Properties
- formation energy (no corrections) (eV/atom) = -0.997
- SG = Pbcn, No. 60
- total magnetization (μB/cell) = 0.00